(1)
# MoPtCl2

A geometry-optimized MoPtCl2 structure (PBEsol, Alexandria).

Cell: 2.824 4.436 11.667 Å, 90.00 90.00 90.00°
Positions (direct):
Mo: 0.000 0.000 0.000
Mo: 0.500 0.500 0.500
Pt: 0.000 0.500 0.684
Pt: 0.500 0.000 0.184
Cl: 0.000 0.000 0.503
Cl: 0.000 0.500 0.326
Cl: 0.500 0.000 0.826
Cl: 0.500 0.500 0.003

* SG: Imm2, No. 44

***

(2)
# Zr2CdBr

A geometry-optimized Zr2CdBr structure (PBEsol, Alexandria).

Cell: 3.242 4.978 10.594 Å, 90.00 90.00 90.00°
Positions (direct):
Zr: 0.000 0.000 0.000
Zr: 0.000 0.500 0.254
Zr: 0.500 0.000 0.754
Zr: 0.500 0.500 0.500
Cd: 0.000 0.000 0.474
Cd: 0.500 0.500 0.974
Br: 0.000 0.500 0.707
Br: 0.500 0.000 0.207

* SG: Imm2, No. 44

***

(3)
# Rb3DyCl6

A geometry-optimized Rb3DyCl6 structure (PBEsol, Alexandria).

Cell: 7.972 7.972 7.972 Å, 60.00 60.00 60.00°
Positions (direct):
Rb: 0.000 0.000 0.000
Rb: 0.250 0.250 0.250
Rb: 0.750 0.750 0.750
Dy: 0.500 0.500 0.500
Cl: 0.270 0.270 0.730
Cl: 0.270 0.730 0.270
Cl: 0.270 0.730 0.730
Cl: 0.730 0.270 0.270
Cl: 0.730 0.270 0.730
Cl: 0.730 0.730 0.270

* SG: Fm-3m, No. 225

***

(4)
# Ba3NaGd3Si6O20

A geometry-optimized Ba3NaGd3Si6O20 structure (PBEsol, Alexandria).

Cell: 14.747 12.254 12.254 Å, 153.92 90.00 90.00°
Positions (direct):
Ba: 0.113 0.243 0.757
Ba: 0.250 0.081 0.918
Ba: 0.387 0.243 0.757
Ba: 0.613 0.757 0.243
Ba: 0.750 0.918 0.081
Ba: 0.887 0.757 0.243
Na: 0.250 0.320 0.544
Na: 0.750 0.544 0.320
Gd: 0.000 0.077 0.077
Gd: 0.031 0.685 0.465
Gd: 0.469 0.685 0.465
Gd: 0.500 0.077 0.077
Gd: 0.531 0.465 0.685
Gd: 0.969 0.465 0.685
Si: 0.056 0.885 0.186
Si: 0.139 0.511 0.511
Si: 0.250 0.711 0.352
Si: 0.250 0.790 0.169
Si: 0.361 0.511 0.511
Si: 0.444 0.885 0.186
Si: 0.556 0.186 0.885
Si: 0.639 0.511 0.511
Si: 0.750 0.169 0.790
Si: 0.750 0.352 0.711
Si: 0.861 0.511 0.511
Si: 0.944 0.186 0.885
O: 0.000 0.098 0.442
O: 0.000 0.442 0.098
O: 0.031 0.611 0.988
O: 0.034 0.856 0.030
O: 0.084 0.367 0.477
O: 0.108 0.797 0.744
O: 0.116 0.358 0.260
O: 0.162 0.826 0.518
O: 0.165 0.955 0.269
O: 0.250 0.417 0.062
O: 0.250 0.498 0.528
O: 0.250 0.501 0.882
O: 0.250 0.861 0.365
O: 0.335 0.955 0.269
O: 0.338 0.826 0.518
O: 0.384 0.358 0.260
O: 0.392 0.797 0.744
O: 0.416 0.367 0.477
O: 0.466 0.856 0.030
O: 0.469 0.611 0.988
O: 0.500 0.098 0.442
O: 0.500 0.442 0.098
O: 0.531 0.988 0.611
O: 0.534 0.030 0.856
O: 0.584 0.477 0.367
O: 0.608 0.744 0.797
O: 0.616 0.260 0.358
O: 0.662 0.518 0.826
O: 0.665 0.269 0.955
O: 0.750 0.062 0.417
O: 0.750 0.365 0.861
O: 0.750 0.528 0.498
O: 0.750 0.882 0.501
O: 0.835 0.269 0.955
O: 0.838 0.518 0.826
O: 0.884 0.260 0.358
O: 0.892 0.744 0.797
O: 0.916 0.477 0.367
O: 0.966 0.030 0.856
O: 0.969 0.988 0.611

* SG: Ama2, No. 40

***

Energy relative to the elements, uncorrected values, unit eV/atom, following the record order: 0.27 -0.16 -2.06 -3.08.
M_tot values, unit μB per formula unit, following the record order: 0.01 0.00 0.00 20.94.